Tl3NiOs2O9: relaxed, GGA+U.

abc: 5.6680 5.6680 6.9950
angles: 90.00 90.00 120.00
Closest atoms and distances in Å follow each position.
Positions (direct):
O: 0.5000 0.0000 0.0000  2 Os 1.99
O: 0.1755 0.8245 0.3175  1 Os 1.89
O: 0.3510 0.1755 0.6825  1 Os 1.89
O: 0.1755 0.3510 0.3175  1 Os 1.89
O: 0.5000 0.5000 0.0000  2 Os 1.99
O: 0.8245 0.6490 0.6825  1 Os 1.89
O: 0.8245 0.1755 0.6825  1 Os 1.89
O: 0.6490 0.8245 0.3175  1 Os 1.89
O: 0.0000 0.5000 0.0000  2 Os 1.99
Tl: 0.3333 0.6667 0.6450  12 O 2.77-2.97
Tl: 0.0000 0.0000 0.0000  12 O 2.81-2.83
Tl: 0.6667 0.3333 0.3550  12 O 2.77-2.97
Ni: 0.0000 0.0000 0.5000  6 O 2.14
Os: 0.3333 0.6667 0.1621  6 O 1.89-1.99
Os: 0.6667 0.3333 0.8379  6 O 1.89-1.99

Calculated values
Crystal system: trigonal
Space group: P-3m1, No. 164
Calculated volume, A^3/atom: 13.0
Total magnetization, μB/f.u.: 2.20
Raw total energy, eV per cell: -89.196
D(E_F), states/eV/atom: 0.51